# CsNpMnF6

CsNpMnF6 after structural relaxation (PBE with a Hubbard U, the Alexandria database).

```
CsNpMnF6
1.0
-1.683 -2.303 7.911
-6.340 -4.080 -2.537
7.188 -1.344 -3.331
F Mn Cs Np
12 2 2 2
direct
0.190 0.895 0.734
0.842 0.092 0.683
0.544 0.895 0.734
0.544 0.340 0.734
0.456 0.105 0.266
0.190 0.340 0.734
0.810 0.660 0.266
0.464 0.714 0.928
0.456 0.660 0.266
0.158 0.908 0.317
0.810 0.105 0.266
0.536 0.286 0.072
0.500 0.000 0.000
0.500 0.500 0.000
0.813 0.563 0.626
0.187 0.437 0.374
0.500 0.000 0.500
0.000 0.000 0.500
```

# CsMnOF2

CsMnOF2 after structural relaxation (PBE with a Hubbard U, the Alexandria database).

```
CsMnOF2
1.0
5.228 0.000 0.000
0.000 5.228 0.000
0.000 0.000 4.353
Cs F Mn O
1 2 1 1
direct
0.000 0.000 0.000
0.500 0.000 0.000
0.000 0.500 0.000
0.500 0.500 0.500
0.000 0.000 0.500
```

# Cs2MnOF6

Cs2MnOF6 after structural relaxation (PBE with a Hubbard U, the Alexandria database).

```
Cs2MnOF6
1.0
-1.692 3.241 5.169
-6.013 0.022 -1.983
-4.644 -2.537 3.948
F O Mn Cs
6 1 1 2
direct
0.793 0.207 0.000
0.207 0.793 0.000
0.810 0.810 0.381
0.793 0.793 0.000
0.207 0.207 0.000
0.190 0.190 0.619
0.500 0.500 0.000
0.000 0.000 0.000
0.750 0.250 0.500
0.250 0.750 0.500
```

Number 1: total energy -6.31 eV/atom, N(E_F) 7.06 states/eV/cell. Number 2: total energy -3.93 eV/atom, N(E_F) 3.67 states/eV/cell. Number 3: total energy -4.61 eV/atom, N(E_F) 0.00 states/eV/cell.